Arrangement w

Below is crystalline Rb2PtSe3 at its relaxed geometry, with properties calculated at the PBE level.

a b c (Å): 6.9733 7.2059 9.5994
angles (deg): 110.99 91.93 115.95
Fractional positions:
Rb (0.1046, 0.1969, 0.3856)
Rb (0.3270, 0.6216, 0.1764)
Rb (0.6730, 0.3784, 0.8236)
Rb (0.8954, 0.8031, 0.6144)
Pt (0.4025, 0.8111, 0.8447)
Pt (0.5975, 0.1889, 0.1553)
Se (0.1842, 0.4088, 0.7754)
Se (0.2334, 0.0238, 0.9988)
Se (0.3877, 0.7923, 0.5866)
Se (0.6123, 0.2077, 0.4134)
Se (0.7666, 0.9762, 0.0012)
Se (0.8158, 0.5912, 0.2246)

---

Arrangement x

Below is crystalline Rb2PtSe3 at its relaxed geometry, with properties calculated at the PBE level.

a b c (Å): 7.7823 7.7823 6.8232
angles (deg): 90.00 90.00 71.50
Fractional positions:
Rb (0.0093, 0.6886, 0.7500)
Rb (0.3114, 0.9907, 0.7500)
Rb (0.6886, 0.0093, 0.2500)
Rb (0.9907, 0.3114, 0.2500)
Pt (0.4409, 0.5591, 0.2500)
Pt (0.5591, 0.4409, 0.7500)
Se (0.1614, 0.8386, 0.2500)
Se (0.3660, 0.3660, 0.0000)
Se (0.3660, 0.3660, 0.5000)
Se (0.6340, 0.6340, 0.0000)
Se (0.6340, 0.6340, 0.5000)
Se (0.8386, 0.1614, 0.7500)

---

So which one wins? Going from most stable to least: arrangement x, arrangement w.

---

Arrangement w

Below is crystalline RbSnPt at its relaxed geometry, with properties calculated at the PBE level.

a b c (Å): 5.0191 5.0191 5.0191
angles (deg): 60.00 60.00 60.00
Fractional positions:
Rb (0.0000, 0.0000, 0.0000)
Sn (0.5000, 0.5000, 0.5000)
Pt (0.2500, 0.2500, 0.2500)

---

Arrangement x

Below is crystalline RbSnPt at its relaxed geometry, with properties calculated at the PBE level.

a b c (Å): 5.2010 5.2010 5.2010
angles (deg): 60.00 60.00 60.00
Fractional positions:
Rb (0.0000, 0.0000, 0.0000)
Sn (0.2500, 0.2500, 0.2500)
Pt (0.7500, 0.7500, 0.7500)

---

So which one wins? Going from most stable to least: arrangement w, arrangement x.

---

Arrangement w

Below is crystalline RbTaPt at its relaxed geometry, with properties calculated at the PBE level.

a b c (Å): 4.6541 4.6541 4.6541
angles (deg): 60.00 60.00 60.00
Fractional positions:
Rb (0.0000, 0.0000, 0.0000)
Ta (0.2500, 0.2500, 0.2500)
Pt (0.7500, 0.7500, 0.7500)

---

Arrangement x

Below is crystalline RbTaPt at its relaxed geometry, with properties calculated at the PBE level.

a b c (Å): 4.6358 4.6358 4.6358
angles (deg): 60.00 60.00 60.00
Fractional positions:
Rb (0.0000, 0.0000, 0.0000)
Ta (0.7500, 0.7500, 0.7500)
Pt (0.5000, 0.5000, 0.5000)

---

So which one wins? Going from most stable to least: arrangement x, arrangement w.

---

Arrangement w

Below is crystalline RbTcPt at its relaxed geometry, with properties calculated at the PBE level.

a b c (Å): 4.8348 4.8348 4.8348
angles (deg): 60.00 60.00 60.00
Fractional positions:
Rb (0.0000, 0.0000, 0.0000)
Tc (0.5000, 0.5000, 0.5000)
Pt (0.2500, 0.2500, 0.2500)

---

Arrangement x

Below is crystalline RbTcPt at its relaxed geometry, with properties calculated at the PBE level.

a b c (Å): 4.8000 4.8000 4.8000
angles (deg): 60.00 60.00 60.00
Fractional positions:
Rb (0.0000, 0.0000, 0.0000)
Tc (0.2500, 0.2500, 0.2500)
Pt (0.7500, 0.7500, 0.7500)

---

So which one wins? Going from most stable to least: arrangement w, arrangement x.

---

Arrangement w

Below is crystalline RbPtW at its relaxed geometry, with properties calculated at the PBE level.

a b c (Å): 4.9518 4.9518 4.9518
angles (deg): 60.00 60.00 60.00
Fractional positions:
Rb (0.0000, 0.0000, 0.0000)
Pt (0.7500, 0.7500, 0.7500)
W (0.2500, 0.2500, 0.2500)

---

Arrangement x

Below is crystalline RbPtW at its relaxed geometry, with properties calculated at the PBE level.

a b c (Å): 4.5767 4.5767 4.5767
angles (deg): 60.00 60.00 60.00
Fractional positions:
Rb (0.0000, 0.0000, 0.0000)
Pt (0.5000, 0.5000, 0.5000)
W (0.7500, 0.7500, 0.7500)

---

So which one wins? Going from most stable to least: arrangement x, arrangement w.

---

Arrangement w

Below is crystalline RePt at its relaxed geometry, with properties calculated at the PBE level.

a b c (Å): 3.9700 3.9700 3.9700
angles (deg): 60.00 60.00 60.00
Fractional positions:
Re (0.0000, 0.0000, 0.0000)
Pt (0.2500, 0.2500, 0.2500)

---

Arrangement x

Below is crystalline RePt at its relaxed geometry, with properties calculated at the PBE level.

a b c (Å): 2.7734 2.7734 4.5023
angles (deg): 90.00 90.00 120.00
Fractional positions:
Re (0.0000, 0.0000, 0.0000)
Pt (0.3333, 0.6667, 0.5000)

---

Arrangement y

Below is crystalline RePt at its relaxed geometry, with properties calculated at the PBE level.

a b c (Å): 3.6696 3.6696 3.6696
angles (deg): 60.00 60.00 60.00
Fractional positions:
Re (0.0000, 0.0000, 0.0000)
Pt (0.5000, 0.5000, 0.5000)

---

So which one wins? Going from most stable to least: arrangement x, arrangement w, arrangement y.

---

Arrangement w

Below is crystalline SmRePt at its relaxed geometry, with properties calculated at the PBE level.

a b c (Å): 4.6381 4.6381 4.6381
angles (deg): 60.00 60.00 60.00
Fractional positions:
Sm (0.0000, 0.0000, 0.0000)
Re (0.2500, 0.2500, 0.2500)
Pt (0.7500, 0.7500, 0.7500)

---

Arrangement x

Below is crystalline SmRePt at its relaxed geometry, with properties calculated at the PBE level.

a b c (Å): 4.6055 4.6055 4.6055
angles (deg): 60.00 60.00 60.00
Fractional positions:
Sm (0.0000, 0.0000, 0.0000)
Re (0.5000, 0.5000, 0.5000)
Pt (0.7500, 0.7500, 0.7500)

---

So which one wins? Going from most stable to least: arrangement x, arrangement w.

---

Arrangement w

Below is crystalline URePt at its relaxed geometry, with properties calculated at the PBE level.

a b c (Å): 4.5011 4.5011 4.5011
angles (deg): 60.00 60.00 60.00
Fractional positions:
U (0.0000, 0.0000, 0.0000)
Re (0.2500, 0.2500, 0.2500)
Pt (0.7500, 0.7500, 0.7500)

---

Arrangement x

Below is crystalline URePt at its relaxed geometry, with properties calculated at the PBE level.

a b c (Å): 4.4594 4.4594 4.4594
angles (deg): 60.00 60.00 60.00
Fractional positions:
U (0.0000, 0.0000, 0.0000)
Re (0.2500, 0.2500, 0.2500)
Pt (0.5000, 0.5000, 0.5000)

---

So which one wins? Going from most stable to least: arrangement x, arrangement w.

---

Arrangement w

Below is crystalline SrSnSbPt2 at its relaxed geometry, with properties calculated at the PBE level.

a b c (Å): 4.7482 4.6525 10.6792
angles (deg): 90.00 92.09 90.00
Fractional positions:
Sr (0.2380, 0.2500, 0.2437)
Sr (0.7620, 0.7500, 0.7563)
Sn (0.2472, 0.7500, 0.4983)
Sn (0.7528, 0.2500, 0.5017)
Sb (0.2945, 0.2500, 0.8778)
Sb (0.7055, 0.7500, 0.1222)
Pt (0.1925, 0.7500, 0.9980)
Pt (0.2633, 0.2500, 0.6291)
Pt (0.7367, 0.7500, 0.3709)
Pt (0.8075, 0.2500, 0.0020)

---

Arrangement x

Below is crystalline SrSnSbPt2 at its relaxed geometry, with properties calculated at the PBE level.

a b c (Å): 4.6666 4.6666 10.8292
angles (deg): 90.00 90.00 90.00
Fractional positions:
Sr (0.2500, 0.2500, 0.2415)
Sr (0.7500, 0.7500, 0.7585)
Sn (0.2500, 0.7500, 0.5000)
Sn (0.7500, 0.2500, 0.5000)
Sb (0.2500, 0.2500, 0.8736)
Sb (0.7500, 0.7500, 0.1264)
Pt (0.2500, 0.2500, 0.6297)
Pt (0.2500, 0.7500, 0.0000)
Pt (0.7500, 0.2500, 0.0000)
Pt (0.7500, 0.7500, 0.3703)

---

So which one wins? Going from most stable to least: arrangement w, arrangement x.

---

Arrangement w

Below is crystalline Zr3Sb4Pt4 at its relaxed geometry, with properties calculated at the PBE level.

a b c (Å): 7.7532 7.7532 7.7532
angles (deg): 131.20 131.20 71.50
Fractional positions:
Zr (0.0000, 0.0000, 0.0000)
Zr (0.2500, 0.7500, 0.5000)
Zr (0.7500, 0.2500, 0.5000)
Sb (0.0000, 0.5000, 0.5000)
Sb (0.2662, 0.2662, 0.0000)
Sb (0.5000, 0.0000, 0.5000)
Sb (0.7338, 0.7338, 0.0000)
Pt (0.1050, 0.1050, 0.4711)
Pt (0.3661, 0.8950, 0.0000)
Pt (0.6339, 0.6339, 0.5289)
Pt (0.8950, 0.3661, 0.0000)

---

Arrangement x

Below is crystalline Zr3Sb4Pt4 at its relaxed geometry, with properties calculated at the PBE level.

a b c (Å): 6.9167 4.3014 7.8746
angles (deg): 90.00 93.93 90.00
Fractional positions:
Zr (0.0000, 0.0000, 0.0000)
Zr (0.0435, 0.5000, 0.3938)
Zr (0.5221, 0.0000, 0.9183)
Sb (0.3011, 0.0000, 0.6048)
Sb (0.3154, 0.5000, 0.0867)
Sb (0.7065, 0.0000, 0.3211)
Sb (0.7452, 0.5000, 0.7703)
Pt (0.1489, 0.5000, 0.7687)
Pt (0.3035, 0.0000, 0.2775)
Pt (0.7573, 0.5000, 0.1215)
Pt (0.9035, 0.0000, 0.6293)

---

So which one wins? Going from most stable to least: arrangement w, arrangement x.

---

Arrangement w

Below is crystalline SrScPt at its relaxed geometry, with properties calculated at the PBE level.

a b c (Å): 4.5197 4.5197 7.9525
angles (deg): 90.00 90.00 90.00
Fractional positions:
Sr (0.2500, 0.2500, 0.1461)
Sr (0.7500, 0.7500, 0.8539)
Sc (0.2500, 0.7500, 0.5000)
Sc (0.7500, 0.2500, 0.5000)
Pt (0.2500, 0.2500, 0.6906)
Pt (0.7500, 0.7500, 0.3094)

---

Arrangement x

Below is crystalline SrScPt at its relaxed geometry, with properties calculated at the PBE level.

a b c (Å): 4.8127 4.8127 4.8127
angles (deg): 60.00 60.00 60.00
Fractional positions:
Sr (0.0000, 0.0000, 0.0000)
Sc (0.2500, 0.2500, 0.2500)
Pt (0.7500, 0.7500, 0.7500)

---

So which one wins? Going from most stable to least: arrangement w, arrangement x.

---

Arrangement w

Below is crystalline Sc2TcPt at its relaxed geometry, with properties calculated at the PBE level.

a b c (Å): 4.5799 4.5799 4.5799
angles (deg): 60.00 60.00 60.00
Fractional positions:
Sc (0.2500, 0.2500, 0.2500)
Sc (0.7500, 0.7500, 0.7500)
Tc (0.0000, 0.0000, 0.0000)
Pt (0.5000, 0.5000, 0.5000)

---

Arrangement x

Below is crystalline Sc2TcPt at its relaxed geometry, with properties calculated at the PBE level.

a b c (Å): 7.0813 7.2856 5.7465
angles (deg): 90.00 90.00 90.00
Fractional positions:
Sc (0.2008, 0.0140, 0.1178)
Sc (0.2008, 0.4860, 0.1178)
Sc (0.2992, 0.5140, 0.6178)
Sc (0.2992, 0.9860, 0.6178)
Sc (0.7008, 0.0140, 0.3822)
Sc (0.7008, 0.4860, 0.3822)
Sc (0.7992, 0.5140, 0.8822)
Sc (0.7992, 0.9860, 0.8822)
Tc (0.0188, 0.2500, 0.6352)
Tc (0.4812, 0.7500, 0.1352)
Tc (0.5188, 0.2500, 0.8648)
Tc (0.9812, 0.7500, 0.3648)
Pt (0.0797, 0.7500, 0.8320)
Pt (0.4203, 0.2500, 0.3320)
Pt (0.5797, 0.7500, 0.6680)
Pt (0.9203, 0.2500, 0.1680)

---

Arrangement y

Below is crystalline Sc2TcPt at its relaxed geometry, with properties calculated at the PBE level.

a b c (Å): 3.2756 3.2756 6.4127
angles (deg): 90.00 90.00 90.00
Fractional positions:
Sc (0.0000, 0.0000, 0.2437)
Sc (0.0000, 0.0000, 0.7563)
Tc (0.5000, 0.5000, 0.0000)
Pt (0.5000, 0.5000, 0.5000)

---

So which one wins? Going from most stable to least: arrangement w, arrangement y, arrangement x.